First-principles (PBE-GGA) data for a relaxed Pr2Sm5Dy4 crystal, as listed in Alexandria via LeMat-Bulk.

Unit cell a=3.536 b=9.172 c=23.562 alpha=90.00 beta=90.00 gamma=90.00
Space group Immm (No. 71)
Inequivalent atoms, fractional coordinates:
Pr (0.000, 0.000, 0.232) [4 per cell]
Sm (0.000, 0.197, 0.358) [8 per cell]
Sm (0.000, 0.500, 0.000) [2 per cell]
Dy (0.000, 0.000, 0.097) [4 per cell]
Dy (0.000, 0.311, 0.500) [4 per cell]

Values from the calculation:
The polymorph energy (0 for the lowest one) is 176 kJ/mol of formula units. The total magnetic moment is 0.0 Bohr magnetons per cell. As for the calculated volume: 34.74 A^3/atom. For the formation energy, the calculation gives 0.1838 eV/atom.

First-principles (PBE-GGA) data for a relaxed K5Se crystal, as listed in Alexandria via LeMat-Bulk.

Unit cell a=16.947 b=4.312 c=11.874 alpha=90.00 beta=127.53 gamma=90.00
Space group C2/m (No. 12)
Inequivalent atoms, fractional coordinates:
K (0.000, 0.000, 0.000) [2 per cell]
K (0.103, 0.500, 0.414) [4 per cell]
K (0.163, 0.500, 0.763) [4 per cell]
Se (0.000, 0.000, 0.500) [2 per cell]

Values from the calculation:
The polymorph energy (0 for the lowest one) is 0 kJ/mol of formula units. The calculation puts the formation energy (no corrections) at -449 meV/atom. The total magnetic moment is 0.0 Bohr magnetons per cell. As for the calculated volume: 57.34 A^3/atom.

First-principles (PBE-GGA) data for a relaxed EuGd2Tl crystal, as listed in Alexandria via LeMat-Bulk.

Unit cell a=4.972 b=4.972 c=4.915 alpha=90.00 beta=90.00 gamma=90.00
Space group P4/mmm (No. 123)
Inequivalent atoms, fractional coordinates:
Eu (0.000, 0.000, 0.000) [1 per cell]
Gd (0.000, 0.500, 0.500) [2 per cell]
Tl (0.500, 0.500, 0.000) [1 per cell]

Values from the calculation:
The polymorph energy (0 for the lowest one) is 0 kJ/mol of formula units. The total magnetic moment is 7.7 Bohr magnetons per cell. As for the calculated volume: 30.38 A^3/atom. For the formation energy, the calculation gives -0.1615 eV/atom.

First-principles (PBE-GGA) data for a relaxed Sm3Y3ScSe8 crystal, as listed in Alexandria via LeMat-Bulk.

Unit cell a=8.1803 b=8.1803 c=20.1841 alpha=90.00 beta=90.00 gamma=120.00
Space group R-3m (No. 166, hexagonal axes)
Inequivalent atoms, fractional coordinates:
Sm (0.0000, 0.5000, 0.0000) [9 per cell]
Y (0.0000, 0.5000, 0.5000) [9 per cell]
Sc (0.0000, 0.0000, 0.5000) [3 per cell]
Se (0.0000, 0.0000, 0.2475) [6 per cell]
Se (0.0058, 0.5029, 0.2461) [18 per cell]

Values from the calculation:
The calculation puts the formation energy (no corrections) at -1830 meV/atom. The total magnetic moment is 0.0 Bohr magnetons per cell. As for the calculated volume: 25.99 A^3/atom.

First-principles (PBE-GGA) data for a relaxed KAu2F11 crystal, as listed in Alexandria via LeMat-Bulk.

Unit cell a=9.572 b=9.742 c=10.941 alpha=90.00 beta=90.00 gamma=90.00
Space group Ibam (No. 72)
Inequivalent atoms, fractional coordinates:
K (0.000, 0.000, 0.250) [4 per cell]
Au (0.144, 0.343, 0.000) [8 per cell]
F (0.000, 0.500, 0.000) [4 per cell]
F (0.037, 0.248, 0.126) [16 per cell]
F (0.225, 0.304, 0.500) [8 per cell]
F (0.250, 0.062, 0.374) [16 per cell]

Values from the calculation:
The calculation puts the formation energy (no corrections) at -1172 meV/atom. The total magnetic moment is 0.0 Bohr magnetons per cell. As for the calculated volume: 18.22 A^3/atom.

First-principles (PBE-GGA) data for a relaxed RbLaP2O crystal, as listed in Alexandria via LeMat-Bulk.

Unit cell a=6.073 b=6.073 c=4.443 alpha=90.00 beta=90.00 gamma=90.00
Space group P4/mmm (No. 123)
Inequivalent atoms, fractional coordinates:
Rb (0.000, 0.000, 0.000) [1 per cell]
La (0.500, 0.500, 0.500) [1 per cell]
P (0.000, 0.500, 0.500) [2 per cell]
O (0.500, 0.500, 0.000) [1 per cell]

Values from the calculation:
The polymorph energy (0 for the lowest one) is 0 kJ/mol of formula units. The calculation puts the formation energy (no corrections) at -481 meV/atom. The total magnetic moment is 3.9 Bohr magnetons per cell. As for the calculated volume: 32.77 A^3/atom.

First-principles (PBE-GGA) data for a relaxed Pm3Cd7Au4 crystal, as listed in Alexandria via LeMat-Bulk.

Unit cell a=16.753 b=4.443 c=10.812 alpha=90.00 beta=125.10 gamma=90.00
Space group C2/m (No. 12)
Inequivalent atoms, fractional coordinates:
Pm (0.000, 0.000, 0.000) [2 per cell]
Pm (0.199, 0.500, 0.712) [4 per cell]
Cd (0.000, 0.000, 0.500) [2 per cell]
Cd (0.015, 0.500, 0.319) [4 per cell]
Cd (0.165, 0.000, 0.437) [4 per cell]
Cd (0.170, 0.500, 0.010) [4 per cell]
Au (0.118, 0.000, 0.823) [4 per cell]
Au (0.154, 0.500, 0.249) [4 per cell]

Values from the calculation:
The total magnetic moment is 0.0 Bohr magnetons per cell. As for the calculated volume: 23.52 A^3/atom. For the formation energy, the calculation gives -0.4449 eV/atom.

First-principles (PBE-GGA) data for a relaxed Zr2TiHIr crystal, as listed in Alexandria via LeMat-Bulk.

Unit cell a=4.595 b=4.595 c=3.625 alpha=90.00 beta=90.00 gamma=90.00
Space group P4/mmm (No. 123)
Inequivalent atoms, fractional coordinates:
Zr (0.000, 0.500, 0.000) [2 per cell]
Ti (0.000, 0.000, 0.500) [1 per cell]
H (0.000, 0.000, 0.000) [1 per cell]
Ir (0.500, 0.500, 0.500) [1 per cell]

Values from the calculation:
The raw total energy comes out at -7.88 eV per atom. The total magnetic moment is 0.4 Bohr magnetons per cell. As for the calculated volume: 15.31 A^3/atom.

First-principles (PBE-GGA) data for a relaxed Er2AsPRh6 crystal, as listed in Alexandria via LeMat-Bulk.

Unit cell a=5.834 b=8.582 c=7.246 alpha=90.00 beta=90.00 gamma=90.00
Space group Pmmn (No. 59, origin choice 2)
Inequivalent atoms, fractional coordinates:
Er (0.250, 0.020, 0.240) [4 per cell]
As (0.250, 0.750, 0.788) [2 per cell]
P (0.250, 0.250, 0.728) [2 per cell]
Rh (0.017, 0.750, 0.493) [4 per cell]
Rh (0.019, 0.750, 0.062) [4 per cell]
Rh (0.250, 0.501, 0.638) [4 per cell]

Values from the calculation:
The total magnetic moment is 0.0 Bohr magnetons per cell. As for the calculated volume: 18.14 A^3/atom. For the formation energy, the calculation gives -0.6936 eV/atom.

First-principles (PBE-GGA) data for a relaxed Pu3P2Se crystal, as listed in Alexandria via LeMat-Bulk.

Unit cell a=12.928 b=7.485 c=5.204 alpha=90.00 beta=90.00 gamma=90.00
Space group Cmcm (No. 63)
Inequivalent atoms, fractional coordinates:
Pu (0.000, 0.112, 0.250) [4 per cell]
Pu (0.143, 0.333, 0.250) [8 per cell]
P (0.190, 0.000, 0.000) [8 per cell]
Se (0.000, 0.329, 0.750) [4 per cell]

Values from the calculation:
The polymorph energy (0 for the lowest one) is 281 kJ/mol of formula units. The calculation puts the formation energy (no corrections) at -815 meV/atom. The total magnetic moment is 21.9 Bohr magnetons per cell. As for the calculated volume: 20.98 A^3/atom.

First-principles (PBE-GGA) data for a relaxed LiDy2ThS4 crystal, as listed in Alexandria via LeMat-Bulk.

Unit cell a=6.789 b=3.903 c=6.829 alpha=90.00 beta=108.83 gamma=90.00
Space group P2/m (No. 10)
Inequivalent atoms, fractional coordinates:
Li (0.000, 0.000, 0.000) [1 per cell]
Dy (0.500, 0.000, 0.500) [1 per cell]
Dy (0.500, 0.500, 0.000) [1 per cell]
Th (0.000, 0.500, 0.500) [1 per cell]
S (0.250, 0.500, 0.244) [2 per cell]
S (0.253, 0.000, 0.765) [2 per cell]

Values from the calculation:
The calculation puts the formation energy (no corrections) at -1856 meV/atom. The total magnetic moment is 0.0 Bohr magnetons per cell. As for the calculated volume: 21.41 A^3/atom.

First-principles (PBE-GGA) data for a relaxed Re3Au crystal, as listed in Alexandria via LeMat-Bulk.

Unit cell a=2.808 b=3.962 c=5.618 alpha=90.00 beta=90.06 gamma=90.00
Space group P2/m (No. 10)
Inequivalent atoms, fractional coordinates:
Re (0.000, 0.000, 0.000) [1 per cell]
Re (0.493, 0.500, 0.226) [2 per cell]
Au (0.000, 0.000, 0.500) [1 per cell]

Values from the calculation:
The total magnetic moment is 0.0 Bohr magnetons per cell. As for the calculated volume: 15.63 A^3/atom. For the formation energy, the calculation gives 0.2765 eV/atom.

First-principles (PBE-GGA) data for a relaxed YCo2As crystal, as listed in Alexandria via LeMat-Bulk.

Unit cell a=3.814 b=3.999 c=4.843 alpha=90.00 beta=90.00 gamma=90.00
Space group Pmmm (No. 47)
Inequivalent atoms, fractional coordinates:
Y (0.000, 0.000, 0.000) [1 per cell]
Co (0.500, 0.500, 0.232) [2 per cell]
As (0.000, 0.500, 0.500) [1 per cell]

Values from the calculation:
The total magnetic moment is 1.5 Bohr magnetons per cell. As for the calculated volume: 18.47 A^3/atom. For the formation energy, the calculation gives -0.2834 eV/atom.

First-principles (PBE-GGA) data for a relaxed LiZrSe2 crystal, as listed in Alexandria via LeMat-Bulk.

Unit cell a=3.7439 b=3.7439 c=6.7091 alpha=90.00 beta=90.00 gamma=120.00
Space group P-3m1 (No. 164)
Inequivalent atoms, fractional coordinates:
Li (0.0000, 0.0000, 0.0000) [1 per cell]
Zr (0.0000, 0.0000, 0.5000) [1 per cell]
Se (0.3333, 0.6667, 0.7524) [2 per cell]

Values from the calculation:
The calculation puts the formation energy (no corrections) at -1357 meV/atom. The total magnetic moment is 0.0 Bohr magnetons per cell. As for the calculated volume: 20.36 A^3/atom.

First-principles (PBE-GGA) data for a relaxed NaSbTe crystal, as listed in Alexandria via LeMat-Bulk.

Unit cell a=14.652 b=4.328 c=9.349 alpha=90.00 beta=116.86 gamma=90.00
Space group C2 (No. 5)
Inequivalent atoms, fractional coordinates:
Na (0.000, 0.000, 0.000) [2 per cell]
Na (0.000, 0.012, 0.500) [2 per cell]
Sb (0.235, 0.666, 0.887) [4 per cell]
Te (0.027, 0.510, 0.767) [4 per cell]

Values from the calculation:
The polymorph energy (0 for the lowest one) is 10 kJ/mol of formula units. The calculation puts the formation energy (no corrections) at -422 meV/atom. The total magnetic moment is 0.0 Bohr magnetons per cell. As for the calculated volume: 44.08 A^3/atom.

First-principles (PBE-GGA) data for a relaxed TaB3Pt crystal, as listed in Alexandria via LeMat-Bulk.

Unit cell a=4.207 b=4.207 c=4.207 alpha=90.00 beta=90.00 gamma=90.00
Space group Pm-3m (No. 221)
Inequivalent atoms, fractional coordinates:
Ta (0.000, 0.000, 0.000) [1 per cell]
B (0.000, 0.000, 0.500) [3 per cell]
Pt (0.500, 0.500, 0.500) [1 per cell]

Values from the calculation:
The polymorph energy (0 for the lowest one) is 157 kJ/mol of formula units. The total magnetic moment is 0.0 Bohr magnetons per cell. As for the calculated volume: 14.89 A^3/atom. For the formation energy, the calculation gives 1.7080 eV/atom.

First-principles (PBE-GGA) data for a relaxed Rb3CoCl6 crystal, as listed in Alexandria via LeMat-Bulk.

Unit cell a=12.3977 b=12.3977 c=15.0626 alpha=90.00 beta=90.00 gamma=120.00
Space group R-3 (No. 148, hexagonal axes)
Inequivalent atoms, fractional coordinates:
Rb (0.0460, 0.7755, 0.2095) [18 per cell]
Co (0.0000, 0.0000, 0.0000) [3 per cell]
Co (0.0000, 0.0000, 0.5000) [3 per cell]
Cl (0.0056, 0.8519, 0.4121) [18 per cell]
Cl (0.0292, 0.8652, 0.9128) [18 per cell]

Values from the calculation:
The polymorph energy (0 for the lowest one) is 2 kJ/mol of formula units. The calculation puts the formation energy (no corrections) at -1370 meV/atom. The total magnetic moment is 0.0 Bohr magnetons per cell. As for the calculated volume: 33.42 A^3/atom.

First-principles (PBE-GGA) data for a relaxed Ac2La7Hg2 crystal, as listed in Alexandria via LeMat-Bulk.

Unit cell a=7.831 b=10.109 c=9.840 alpha=90.00 beta=95.10 gamma=90.00
Space group C2/m (No. 12)
Inequivalent atoms, fractional coordinates:
Ac (0.000, 0.221, 0.000) [4 per cell]
La (0.000, 0.500, 0.500) [2 per cell]
La (0.136, 0.183, 0.360) [8 per cell]
La (0.247, 0.500, 0.237) [4 per cell]
Hg (0.173, 0.500, 0.867) [4 per cell]

Values from the calculation:
The total magnetic moment is 0.0 Bohr magnetons per cell. As for the calculated volume: 35.27 A^3/atom. For the formation energy, the calculation gives -0.0908 eV/atom.

First-principles (PBE-GGA) data for a relaxed LaPr2Ho2Er crystal, as listed in Alexandria via LeMat-Bulk.

Unit cell a=5.698 b=10.098 c=7.038 alpha=90.00 beta=90.00 gamma=90.00
Space group Pmc2_1 (No. 26)
Inequivalent atoms, fractional coordinates:
La (0.000, 0.178, 0.000) [2 per cell]
Pr (0.000, 0.485, 0.312) [2 per cell]
Pr (0.500, 0.308, 0.572) [2 per cell]
Ho (0.000, 0.143, 0.508) [2 per cell]
Ho (0.500, 0.357, 0.067) [2 per cell]
Er (0.500, 0.016, 0.261) [2 per cell]

Values from the calculation:
The total magnetic moment is 0.0 Bohr magnetons per cell. As for the calculated volume: 33.75 A^3/atom. For the formation energy, the calculation gives 0.0762 eV/atom.